Entry 1:
! Rb2AlSb2 (PBE, relaxed); values from VASP
&SYSTEM
  ibrav = 0, nat = 10, ntyp = 3
/
ATOMIC_SPECIES
Sb 121.76 Sb.upf
Rb 85.47 Rb.upf
Al 26.98 Al.upf
CELL_PARAMETERS angstrom
4.450 0.000 -0.714
-0.114 4.449 -0.714
1.267 1.300 22.132
ATOMIC_POSITIONS crystal
Sb 0.786 0.786 0.571
Sb 0.464 0.964 0.929
Sb 0.036 0.536 0.071
Sb 0.214 0.214 0.429
Rb 0.324 0.324 0.647
Rb 0.574 0.074 0.147
Rb 0.926 0.426 0.853
Rb 0.676 0.676 0.353
Al 0.500 0.500 0.000
Al 0.750 0.250 0.500
! Energy relative to the elements, uncorrected: -0.19 eV/atom
! Excess energy over the best structure of this formula in the dataset: 0.614 eV per formula unit
! Symmetry: I4_1/amd, No. 141

=====

Entry 2:
! Rb2AlSb (PBE, relaxed); values from VASP
&SYSTEM
  ibrav = 0, nat = 4, ntyp = 3
/
ATOMIC_SPECIES
Al 26.98 Al.upf
Rb 85.47 Rb.upf
Sb 121.76 Sb.upf
CELL_PARAMETERS angstrom
0.000 4.277 4.277
4.277 0.000 4.277
4.277 4.277 0.000
ATOMIC_POSITIONS crystal
Al 0.000 0.000 0.000
Rb 0.750 0.750 0.750
Rb 0.250 0.250 0.250
Sb 0.500 0.500 0.500
! Energy relative to the elements, uncorrected: 0.17 eV/atom
! Excess energy over the best structure of this formula in the dataset: 0.000 eV per formula unit
! Symmetry: Fm-3m, No. 225

=====

Number 1: Fermi-level density of states 0.48 states/eV per atom. Number 2: Fermi-level density of states 0.00 states/eV per atom.